A plane-wave DFT calculation with GGA-PBE was carried out for a relaxed structure of Er3Tm6Th2.

Properties
As for the symmetry: C2/m. Its calculated formation energy is 2.4 eV per formula unit. As for the total energy: -53.0 eV/cell. Its total magnetization is 0.00 μB/f.u.

Cell: 6.036 6.040 11.442 Å, 84.91 79.77 60.02°
Fractional positions:
Tm  0.751  0.000  0.748
Er  0.000  0.000  0.000
Th  0.166  0.669  0.500
Tm  0.583  0.333  0.252
Tm  0.249  0.000  0.252
Th  0.834  0.331  0.500
Er  0.335  0.331  0.000
Tm  0.084  0.333  0.748
Er  0.665  0.669  0.000
Tm  0.417  0.667  0.748
Tm  0.916  0.667  0.252